# 1
VASP calculation (PBE) on a relaxed NdTm6Mg crystal.

Unit cell a=6.915 b=6.915 c=5.001 alpha=90.00 beta=90.00 gamma=90.00
Element x y z (fractional)
Nd: 0.000 0.000 0.000
Tm: 0.000 0.500 0.000
Tm: 0.248 0.248 0.500
Tm: 0.248 0.752 0.500
Tm: 0.500 0.000 0.000
Tm: 0.752 0.248 0.500
Tm: 0.752 0.752 0.500
Mg: 0.500 0.500 0.000

Properties
- ΔE to the lowest computed polymorph: 0.00 eV/f.u.
- Crystal system: tetragonal

# 2
VASP calculation (PBE) on a relaxed LaSi4Tc crystal.

Unit cell a=5.248 b=5.248 c=5.248 alpha=60.00 beta=60.00 gamma=60.00
Element x y z (fractional)
La: 0.000 0.000 0.000
Si: 0.133 0.622 0.622
Si: 0.622 0.133 0.622
Si: 0.622 0.622 0.133
Si: 0.622 0.622 0.622
Tc: 0.250 0.250 0.250

Properties
- Uncorrected energy: -5.9339 eV/atom
- Crystal system: cubic

# 3
VASP calculation (PBE) on a relaxed BaLaRu crystal.

Unit cell a=8.089 b=8.992 c=6.280 alpha=90.00 beta=96.31 gamma=90.00
Element x y z (fractional)
Ba: 0.186 0.115 0.291
Ba: 0.186 0.385 0.791
Ba: 0.814 0.615 0.209
Ba: 0.814 0.885 0.709
La: 0.364 0.645 0.350
La: 0.364 0.855 0.850
La: 0.636 0.145 0.150
La: 0.636 0.355 0.650
Ru: 0.495 0.609 0.854
Ru: 0.495 0.891 0.354
Ru: 0.505 0.109 0.646
Ru: 0.505 0.391 0.146

Properties
- ΔE to the lowest computed polymorph: 0.00 eV/f.u.
- Crystal system: monoclinic

# 4
VASP calculation (PBE) on a relaxed LaMg6 crystal.

Unit cell a=6.729 b=6.729 c=6.729 alpha=90.00 beta=90.00 gamma=90.00
Element x y z (fractional)
La: 0.000 0.000 0.000
Mg: 0.195 0.500 0.500
Mg: 0.500 0.195 0.500
Mg: 0.500 0.500 0.195
Mg: 0.500 0.500 0.805
Mg: 0.500 0.805 0.500
Mg: 0.805 0.500 0.500

Properties
- ΔE to the lowest computed polymorph: 6.72 eV/f.u.
- Crystal system: cubic

# 5
VASP calculation (PBE) on a relaxed Cu3N4Cl4O crystal.

Unit cell a=6.857 b=6.857 c=6.857 alpha=99.45 beta=99.45 gamma=132.20
Element x y z (fractional)
Cu: 0.000 0.000 0.000
Cu: 0.250 0.750 0.500
Cu: 0.750 0.250 0.500
N: 0.151 0.151 0.303
N: 0.151 0.849 0.000
N: 0.849 0.151 0.000
N: 0.849 0.849 0.697
Cl: 0.202 0.500 0.702
Cl: 0.500 0.202 0.702
Cl: 0.500 0.798 0.298
Cl: 0.798 0.500 0.298
O: 0.500 0.500 0.000

Properties
- Uncorrected energy: -3.3064 eV/atom
- Crystal system: tetragonal

# 6
VASP calculation (PBE) on a relaxed HgMoBr2 crystal.

Unit cell a=4.716 b=3.326 c=7.846 alpha=90.00 beta=107.32 gamma=90.00
Element x y z (fractional)
Hg: 0.000 0.000 0.000
Mo: 0.472 0.500 0.944
Br: 0.340 0.000 0.676
Br: 0.636 0.500 0.274

Properties
- ΔE to the lowest computed polymorph: 0.21 eV/f.u.
- Crystal system: monoclinic

# 7
VASP calculation (PBE) on a relaxed Ac4OsBr5 crystal.

Unit cell a=10.301 b=10.301 c=9.307 alpha=106.13 beta=106.13 gamma=24.71
Element x y z (fractional)
Ac: 0.002 0.002 0.284
Ac: 0.350 0.350 0.397
Ac: 0.650 0.650 0.603
Ac: 0.998 0.998 0.716
Os: 0.500 0.500 0.500
Br: 0.168 0.168 0.856
Br: 0.175 0.175 0.365
Br: 0.500 0.500 0.000
Br: 0.825 0.825 0.635
Br: 0.832 0.832 0.144

Properties
- Uncorrected energy: -4.9910 eV/atom
- Crystal system: monoclinic

# 8
VASP calculation (PBE) on a relaxed NaInRu2Pb crystal.

Unit cell a=5.032 b=5.032 c=5.141 alpha=90.00 beta=90.00 gamma=90.00
Element x y z (fractional)
Na: 0.000 0.000 0.000
In: 0.500 0.500 0.000
Ru: 0.000 0.500 0.500
Ru: 0.500 0.000 0.500
Pb: 0.000 0.000 0.500

Properties
- Uncorrected energy: -3.9318 eV/atom
- Crystal system: tetragonal

# 9
VASP calculation (PBE) on a relaxed DyTm4Pb5 crystal.

Unit cell a=3.547 b=3.547 c=22.048 alpha=90.00 beta=90.00 gamma=90.00
Element x y z (fractional)
Dy: 0.000 0.000 0.000
Tm: 0.000 0.000 0.201
Tm: 0.000 0.000 0.400
Tm: 0.000 0.000 0.600
Tm: 0.000 0.000 0.799
Pb: 0.500 0.500 0.102
Pb: 0.500 0.500 0.301
Pb: 0.500 0.500 0.500
Pb: 0.500 0.500 0.699
Pb: 0.500 0.500 0.898

Properties
- ΔE to the lowest computed polymorph: 0.00 eV/f.u.
- Crystal system: tetragonal

# 10
VASP calculation (PBE) on a relaxed LiSi2As crystal.

Unit cell a=4.414 b=2.827 c=5.373 alpha=90.00 beta=108.61 gamma=90.00
Element x y z (fractional)
Li: 0.000 0.000 0.000
Si: 0.000 0.500 0.500
Si: 0.500 0.000 0.500
As: 0.500 0.500 0.000

Properties
- Uncorrected energy: -4.2279 eV/atom
- Crystal system: monoclinic

# 11
VASP calculation (PBE) on a relaxed ErThPtAu crystal.

Unit cell a=5.102 b=5.102 c=5.102 alpha=60.00 beta=60.00 gamma=60.00
Element x y z (fractional)
Er: 0.000 0.000 0.000
Th: 0.500 0.500 0.500
Pt: 0.250 0.250 0.250
Au: 0.750 0.750 0.750

Properties
- ΔE to the lowest computed polymorph: 0.60 eV/f.u.
- Crystal system: cubic

# 12
VASP calculation (PBE) on a relaxed CaSc2Si crystal.

Unit cell a=11.395 b=11.395 c=11.395 alpha=16.73 beta=16.73 gamma=16.73
Element x y z (fractional)
Ca: 0.000 0.000 0.000
Sc: 0.420 0.420 0.420
Sc: 0.580 0.580 0.580
Si: 0.500 0.500 0.500

Properties
- Uncorrected energy: -4.5873 eV/atom
- Crystal system: trigonal

# 13
VASP calculation (PBE) on a relaxed Pr3Bi crystal.

Unit cell a=6.657 b=6.657 c=6.657 alpha=143.92 beta=64.21 gamma=128.82
Element x y z (fractional)
Pr: 0.000 0.000 0.000
Pr: 0.393 0.617 0.776
Pr: 0.840 0.617 0.224
Bi: 0.465 0.965 0.500

Properties
- ΔE to the lowest computed polymorph: 0.24 eV/f.u.
- Crystal system: orthorhombic

no.,theoretical density (kg/m3)
1,8209
2,5673
3,5520
4,1552
5,3076
6,6449
7,6283
8,6978
9,11222
10,3607
11,13997
12,2455
13,7846